Entry 1:
# ReAsP

Crystalline ReAsP at its relaxed geometry (PBEsol, the Alexandria database).

Results
Formation energy from the elements in meV/atom: -46
Volume in A^3/atom: 15.28

a = 3.1307 Å, b = 3.1307 Å, c = 5.4016 Å
α = 90.00°, β = 90.00°, γ = 120.00°
Atoms (fractional coordinates):
Re: 0.6667 0.3333 0.3483
As: 0.0000 0.0000 0.0121
P: 0.3333 0.6667 0.6397

=====

Entry 2:
# Re3AsP

Crystalline Re3AsP at its relaxed geometry (PBEsol, the Alexandria database).

Results
Formation energy from the elements in meV/atom: 1166
Volume in A^3/atom: 16.80

a = 4.3798 Å, b = 4.3798 Å, c = 4.3798 Å
α = 90.00°, β = 90.00°, γ = 90.00°
Atoms (fractional coordinates):
Re: 0.0000 0.5000 0.0000
Re: 0.0000 0.0000 0.5000
Re: 0.5000 0.0000 0.0000
As: 0.5000 0.5000 0.5000
P: 0.0000 0.0000 0.0000

=====

Entry 3:
# Re2AsP

Crystalline Re2AsP at its relaxed geometry (PBEsol, the Alexandria database).

Results
Formation energy from the elements in meV/atom: 704
Volume in A^3/atom: 14.71

a = 4.3661 Å, b = 4.3661 Å, c = 4.3661 Å
α = 60.00°, β = 60.00°, γ = 60.00°
Atoms (fractional coordinates):
As: 0.5000 0.5000 0.5000
P: 0.2500 0.2500 0.2500
Re: 0.0000 0.0000 0.0000
Re: 0.7500 0.7500 0.7500

=====

Entry 4:
# ReAsP4

Crystalline ReAsP4 at its relaxed geometry (PBEsol, the Alexandria database).

Results
Formation energy from the elements in meV/atom: 965
Volume in A^3/atom: 14.15

a = 4.9335 Å, b = 4.9335 Å, c = 4.9335 Å
α = 60.00°, β = 60.00°, γ = 60.00°
Atoms (fractional coordinates):
As: 0.0000 0.0000 0.0000
P: 0.3743 0.3743 0.3743
P: 0.3743 0.3743 0.8772
P: 0.8772 0.3743 0.3743
P: 0.3743 0.8772 0.3743
Re: 0.7500 0.7500 0.7500

=====

Entry 5:
# ReAsP2S

Crystalline ReAsP2S at its relaxed geometry (PBEsol, the Alexandria database).

Results
Uncorrected formation energy in eV/atom: 0.681
Volume in A^3/atom: 19.20

a = 4.3745 Å, b = 4.6850 Å, c = 4.6850 Å
α = 90.00°, β = 90.00°, γ = 90.00°
Atoms (fractional coordinates):
Re: 0.0000 0.0000 0.0000
As: 0.5000 0.5000 0.5000
S: 0.5000 0.0000 0.0000
P: 0.0000 0.0000 0.5000
P: 0.0000 0.5000 0.0000

=====

Entry 6:
# AsPRh3

Crystalline AsPRh3 at its relaxed geometry (PBEsol, the Alexandria database).

Results
Formation energy from the elements in meV/atom: 813
Volume in A^3/atom: 17.81

a = 4.4658 Å, b = 4.4658 Å, c = 4.4658 Å
α = 90.00°, β = 90.00°, γ = 90.00°
Atoms (fractional coordinates):
P: 0.5000 0.5000 0.5000
As: 0.0000 0.0000 0.0000
Rh: 0.0000 0.5000 0.0000
Rh: 0.0000 0.0000 0.5000
Rh: 0.5000 0.0000 0.0000

=====

Entry 7:
# As4PRh10

Crystalline As4PRh10 at its relaxed geometry (PBEsol, the Alexandria database).

Results
Formation energy from the elements in meV/atom: -525
Volume in A^3/atom: 14.82

a = 3.9795 Å, b = 3.9795 Å, c = 16.3750 Å
α = 83.02°, β = 83.02°, γ = 60.00°
Atoms (fractional coordinates):
As: 0.3987 0.3987 0.8038
As: 0.7995 0.7995 0.6014
As: 0.2005 0.2005 0.3986
As: 0.6013 0.6013 0.1962
P: 0.0000 0.0000 0.0000
Rh: 0.9523 0.9523 0.1431
Rh: 0.1498 0.1498 0.5505
Rh: 0.5508 0.5508 0.3477
Rh: 0.3484 0.3484 0.9548
Rh: 0.7488 0.7488 0.7537
Rh: 0.6516 0.6516 0.0452
Rh: 0.8502 0.8502 0.4495
Rh: 0.2512 0.2512 0.2463
Rh: 0.0477 0.0477 0.8569
Rh: 0.4492 0.4492 0.6523

=====

Entry 8:
# AsPRh3

Crystalline AsPRh3 at its relaxed geometry (PBEsol, the Alexandria database).

Results
Formation energy from the elements in meV/atom: 170
Volume in A^3/atom: 16.29

a = 4.3347 Å, b = 4.3347 Å, c = 4.3347 Å
α = 90.00°, β = 90.00°, γ = 90.00°
Atoms (fractional coordinates):
P: 0.0000 0.0000 0.0000
As: 0.5000 0.5000 0.5000
Rh: 0.0000 0.5000 0.0000
Rh: 0.0000 0.0000 0.5000
Rh: 0.5000 0.0000 0.0000

=====

Entry 9:
# AsP3Rh

Crystalline AsP3Rh at its relaxed geometry (PBEsol, the Alexandria database).

Results
Formation energy from the elements in meV/atom: 1259
Volume in A^3/atom: 18.09

a = 4.4889 Å, b = 4.4889 Å, c = 4.4889 Å
α = 90.00°, β = 90.00°, γ = 90.00°
Atoms (fractional coordinates):
P: 0.0000 0.5000 0.0000
P: 0.0000 0.0000 0.5000
P: 0.5000 0.0000 0.0000
As: 0.0000 0.0000 0.0000
Rh: 0.5000 0.5000 0.5000

=====

Entry 10:
# ScAsPRh2

Crystalline ScAsPRh2 at its relaxed geometry (PBEsol, the Alexandria database).

Results
Formation energy from the elements in meV/atom: 230
Volume in A^3/atom: 19.00

a = 4.4404 Å, b = 4.4404 Å, c = 4.8185 Å
α = 90.00°, β = 90.00°, γ = 90.00°
Atoms (fractional coordinates):
Sc: 0.5000 0.5000 0.5000
P: 0.0000 0.0000 0.5000
As: 0.0000 0.0000 0.0000
Rh: 0.0000 0.5000 0.0000
Rh: 0.5000 0.0000 0.0000

=====

Entry 11:
# As2PRu

Crystalline As2PRu at its relaxed geometry (PBEsol, the Alexandria database).

Results
Formation energy from the elements in meV/atom: -65
Volume in A^3/atom: 18.88

a = 3.9362 Å, b = 4.3399 Å, c = 4.9247 Å
α = 63.86°, β = 90.00°, γ = 90.00°
Atoms (fractional coordinates):
As: 0.0000 0.8239 0.3522
As: 0.0000 0.1761 0.6478
P: 0.5000 0.5000 0.0000
Ru: 0.5000 0.0000 0.0000

=====

Entry 12:
# AsPRu

Crystalline AsPRu at its relaxed geometry (PBEsol, the Alexandria database).

Results
Formation energy from the elements in meV/atom: -128
Volume in A^3/atom: 14.83

a = 3.1331 Å, b = 3.1331 Å, c = 5.2325 Å
α = 90.00°, β = 90.00°, γ = 120.00°
Atoms (fractional coordinates):
Ru: 0.6667 0.3333 0.3516
As: 0.0000 0.0000 0.0077
P: 0.3333 0.6667 0.6407